(1)
! PBE SmSc2Rh3, relaxed; values from VASP
&SYSTEM
  ibrav = 0, nat = 6, ntyp = 3
/
ATOMIC_SPECIES
Rh 102.91 Rh.upf
Sc 44.96 Sc.upf
Sm 150.36 Sm.upf
ATOMIC_POSITIONS angstrom
Rh 0.0000 0.0000 6.9386
Rh 0.0000 0.0000 0.0000
Rh 0.0000 0.0000 3.1349
Sc 1.6505 1.6505 8.4766
Sc 1.6505 1.6505 1.5969
Sm 1.6505 1.6505 5.0368
CELL_PARAMETERS angstrom
3.3010 0.0000 0.0000
0.0000 3.3010 0.0000
0.0000 0.0000 10.0735
! SG: P4/mmm
! ΔE_f in eV per atom: -0.88
! Total moment in μB/cell: 0.000


(2)
! PBE SmScRh, relaxed; values from VASP
&SYSTEM
  ibrav = 0, nat = 3, ntyp = 3
/
ATOMIC_SPECIES
Sc 44.96 Sc.upf
Sm 150.36 Sm.upf
Rh 102.91 Rh.upf
ATOMIC_POSITIONS angstrom
Sc -2.2904 -1.3949 0.0373
Sm -1.3632 -2.4422 -3.0165
Rh -0.1339 0.0028 -0.2552
CELL_PARAMETERS angstrom
-2.1300 0.0443 -4.0614
2.1390 -3.5430 -1.1604
-3.7964 -0.3356 1.9873
! SG: P3m1
! ΔE_f in eV per atom: -0.40
! Polymorph energy (0 for the lowest one) in meV/atom: 249
! Total moment in μB/cell: 0.000


Number 2 is which compound?
SmScRh


Which formula does entry 1 have?
SmSc2Rh3


Which formula does entry 2 have?
SmScRh


Number 1 is which compound?
SmSc2Rh3